No. 1
DFT (PBE) results for AcGaH2 after structural relaxation.

Calculated values
Calculated total energy = -3.71 eV per atom
Total magnetic moment = 0.000 μB/f.u.

The structure in extended XYZ format:
```
4
Lattice="4.2461 0.0000 0.0000 2.1230 3.6772 0.0000 2.1230 1.2257 4.7059" Properties=species:S:1:pos:R:3 pbc="T T T"
H 6.3691 3.6772 2.1366
H 2.1230 1.2257 2.5693
Ac 4.2461 2.4515 2.3529
Ga 0.0000 0.0000 0.0000
```


No. 2
DFT (PBE) results for BaCa3F after structural relaxation.

Calculated values
Calculated total energy = -1.37 eV per atom
Total magnetic moment = 5.004 μB/f.u.
Formation energy without anion corrections = 285.0 kJ/mol of formula units

The structure in extended XYZ format:
```
5
Lattice="6.5630 0.0000 0.0000 0.0000 6.5630 0.0000 0.0000 0.0000 6.5630" Properties=species:S:1:pos:R:3 pbc="T T T"
Ca 0.0000 3.2815 0.0000
Ca 0.0000 0.0000 3.2815
Ca 3.2815 0.0000 0.0000
Ba 0.0000 0.0000 0.0000
F 3.2815 3.2815 3.2815
```


No. 3
DFT (PBE) results for BaLiNbBiO6 after structural relaxation.

Calculated values
Calculated total energy = -6.74 eV per atom
Total magnetic moment = 0.000 μB/f.u.
Formation energy without anion corrections = -1918.2 kJ/mol of formula units

The structure in extended XYZ format:
```
10
Lattice="3.2490 3.4723 3.6380 -1.8284 5.5625 1.2506 -2.0293 1.3243 5.4751" Properties=species:S:1:pos:R:3 pbc="T T T"
Ba -0.4565 7.7693 7.7728
Li -0.1522 2.5898 2.5909
Nb -0.3044 5.1796 5.1819
Bi 0.0000 0.0000 0.0000
O -1.0270 5.3611 3.3178
O 0.4183 4.9980 7.0459
O -1.9892 5.9891 5.9139
O 1.3805 4.3701 4.4498
O -1.1222 3.3516 5.3209
O 0.5135 7.0076 5.0428
```


No. 4
DFT (PBE) results for SmAs2RuRh5 after structural relaxation.

Calculated values
Calculated total energy = -6.74 eV per atom
Energy of formation from the pure elements = -0.0714 eV per atom
Total magnetic moment = 0.009 μB/f.u.

The structure in extended XYZ format:
```
9
Lattice="3.9551 0.0000 0.0000 0.0000 3.9551 0.0000 0.0000 0.0000 11.0555" Properties=species:S:1:pos:R:3 pbc="T T T"
Sm 1.9775 1.9775 5.5277
As 0.0000 0.0000 7.9172
As 0.0000 0.0000 3.1382
Ru 0.0000 0.0000 0.0000
Rh 0.0000 0.0000 5.5277
Rh 0.0000 1.9775 9.4396
Rh 1.9775 0.0000 1.6159
Rh 0.0000 1.9775 1.6159
Rh 1.9775 0.0000 9.4396
```


Q: Which value of calculated total energy does entry 3 give?
A: -6.74 eV per atom